Compound: RbGa4Pt
Source: the Alexandria database
Functional: PBE
Structure: optimized geometry

Lattice parameters (Å, degrees): 6.793 6.793 7.676 108.64 108.64 87.78
Sites, in units of the cell vectors:
Rb 0.195 0.195 0.059
Rb 0.805 0.805 0.941
Ga 0.147 0.147 0.513
Ga 0.284 0.558 0.818
Ga 0.286 0.714 0.500
Ga 0.442 0.716 0.182
Ga 0.558 0.284 0.818
Ga 0.714 0.286 0.500
Ga 0.716 0.442 0.182
Ga 0.853 0.853 0.487
Pt 0.000 0.500 0.500
Pt 0.500 0.000 0.500

Properties
For the density of states at the Fermi level, the calculation gives 3.55 states/eV per cell. The energy of formation is -0.2402 eV/atom.

***

Compound: Zr2Be16Cr
Source: the Alexandria database
Functional: PBE
Structure: optimized geometry

Lattice parameters (Å, degrees): 5.742 5.742 5.742 83.55 83.55 83.55
Sites, in units of the cell vectors:
Zr 0.000 0.000 0.000
Zr 0.317 0.317 0.317
Be 0.155 0.656 0.656
Be 0.311 0.311 0.811
Be 0.311 0.811 0.311
Be 0.367 0.654 0.940
Be 0.367 0.940 0.654
Be 0.496 0.998 0.998
Be 0.654 0.367 0.940
Be 0.654 0.940 0.367
Be 0.656 0.155 0.656
Be 0.656 0.656 0.155
Be 0.763 0.763 0.763
Be 0.811 0.311 0.311
Be 0.940 0.367 0.654
Be 0.940 0.654 0.367
Be 0.998 0.496 0.998
Be 0.998 0.998 0.496
Cr 0.560 0.560 0.560

Properties
For the density of states at the Fermi level, the calculation gives 5.80 states/eV per cell. The energy of formation is -0.1704 eV/atom.

***

Compound: AcBi2B
Source: the Alexandria database
Functional: PBE
Structure: optimized geometry

Lattice parameters (Å, degrees): 4.552 4.552 5.445 90.00 90.00 90.00
Sites, in units of the cell vectors:
Ac 0.000 0.000 0.000
Bi 0.000 0.500 0.500
Bi 0.500 0.000 0.500
B 0.500 0.500 0.000

Properties
For the density of states at the Fermi level, the calculation gives 2.66 states/eV per cell. The energy of formation is 0.3306 eV/atom.

***

Compound: CaY2Tc
Source: the Alexandria database
Functional: PBE
Structure: optimized geometry

Lattice parameters (Å, degrees): 4.456 5.674 8.140 90.00 90.00 90.00
Sites, in units of the cell vectors:
Ca 0.000 0.000 0.000
Ca 0.500 0.500 0.500
Y 0.000 0.500 0.215
Y 0.000 0.500 0.785
Y 0.500 0.000 0.285
Y 0.500 0.000 0.715
Tc 0.000 0.000 0.500
Tc 0.500 0.500 0.000

Properties
For the density of states at the Fermi level, the calculation gives 4.65 states/eV per cell. The energy of formation is 0.1912 eV/atom.

***

Compound: Ba4SrRh
Source: the Alexandria database
Functional: PBE
Structure: optimized geometry

Lattice parameters (Å, degrees): 11.134 11.134 7.330 105.26 105.26 45.47
Sites, in units of the cell vectors:
Ba 0.138 0.649 0.391
Ba 0.182 0.182 0.222
Ba 0.237 0.763 0.000
Ba 0.351 0.862 0.609
Ba 0.649 0.138 0.391
Ba 0.763 0.237 0.000
Ba 0.818 0.818 0.778
Ba 0.862 0.351 0.609
Sr 0.304 0.304 0.820
Sr 0.696 0.696 0.180
Rh 0.030 0.030 0.349
Rh 0.970 0.970 0.651

Properties
For the density of states at the Fermi level, the calculation gives 13.73 states/eV per cell. The energy of formation is -0.0820 eV/atom.